[1]
11
Lattice="-4.3128 -0.0577 -4.2345 -0.4589 -2.9379 5.2624 -1.1178 5.9505 2.2583" Properties=species:S:1:pos:R:3 comment="Nb2Cu2RhS6 | the Alexandria database | GGA-PBE | optimized geometry" dos_ef_per_ev_cell=5.54 final_energy_ev_per_fu=-66.28 pbc="T T T"
S -4.6367 -0.2120 -0.2869
S -1.2527 3.1670 3.5731
S -2.6117 4.1826 0.2241
Cu -1.1491 -2.4221 3.5616
S -4.5491 2.2356 2.5240
S -1.3404 0.7194 0.7621
Nb -3.4630 1.8648 0.3659
S -3.2777 -1.2277 3.0620
Rh -0.5589 2.9753 1.1291
Cu -3.6226 -0.5735 -2.5337
Nb -2.4265 1.0901 2.9203



[2]
20
Lattice="-1.1794 1.5952 3.2315 -8.1174 1.2555 -3.5825 -2.5771 -8.0320 3.0245" Properties=species:S:1:pos:R:3 comment="Ta2NbCu2Rh5 | the Alexandria database | GGA-PBE | optimized geometry" dos_ef_per_ev_cell=12.82 final_energy_ev_per_fu=-80.69 pbc="T T T"
Cu -3.3906 -0.4922 -0.9945
Ta -2.2563 -2.3937 0.3582
Ta -5.9267 -0.5560 -1.8887
Rh -3.4177 -5.5414 3.7129
Rh -4.5844 -3.5856 2.3216
Cu -7.3038 -6.2843 0.4366
Rh -8.4561 0.3601 -1.0394
Ta -4.7677 -6.2206 1.3307
Nb -5.3472 -3.3883 -0.2790
Ta -8.4381 -4.3828 -0.9161
Rh -4.6747 -1.1317 1.0772
Rh -7.1992 -4.0496 1.5963
Rh -4.6484 1.4254 -0.1755
Rh -7.2894 -1.5957 0.3519
Rh -1.8782 -3.2184 3.1280
Rh -9.4512 -5.4766 1.4788
Rh -2.4226 0.2953 1.1947
Nb 0.0000 0.0000 0.0000
Cu -2.5781 -4.8331 1.4449
Cu -8.1163 -1.9434 -2.0029



[3]
5
Lattice="4.4903 0.0000 0.0000 0.0000 4.5053 0.0000 0.0000 0.0000 4.4903" Properties=species:S:1:pos:R:3 comment="TiNbCuRh2 | the Alexandria database | GGA-PBE | optimized geometry" dos_ef_per_ev_cell=7.69 final_energy_ev_per_fu=-32.46 pbc="T T T"
Ti 2.2452 2.2526 2.2452
Nb 0.0000 2.2526 0.0000
Cu 0.0000 0.0000 0.0000
Rh 0.0000 0.0000 2.2452
Rh 2.2452 0.0000 0.0000



[4]
5
Lattice="4.9083 0.0000 0.0000 0.0000 4.6326 0.0000 0.0000 0.0000 4.9083" Properties=species:S:1:pos:R:3 comment="Zr2NbCuRh | the Alexandria database | GGA-PBE | optimized geometry" dos_ef_per_ev_cell=6.22 final_energy_ev_per_fu=-35.29 pbc="T T T"
Cu 0.0000 2.3163 0.0000
Rh 0.0000 0.0000 0.0000
Nb 2.4542 2.3163 2.4542
Zr 2.4542 0.0000 0.0000
Zr 0.0000 0.0000 2.4542



[5]
6
Lattice="4.8000 0.0000 0.0000 2.4000 4.1569 0.0000 2.4000 1.3856 3.9192" Properties=species:S:1:pos:R:3 comment="NbCu4Ru | the Alexandria database | GGA-PBE | optimized geometry" dos_ef_per_ev_cell=4.27 final_energy_ev_per_fu=-35.75 pbc="T T T"
Cu 3.6034 3.4622 2.4481
Cu 4.8000 2.7713 0.4941
Ru 2.4000 1.3856 0.9798
Nb 0.0000 0.0000 0.0000
Cu 5.9966 3.4622 2.4481
Cu 4.8000 1.3896 2.4481



[6]
4
Lattice="-0.6537 1.4878 4.0425 -3.3679 -1.4663 2.3430 0.6965 -2.6076 3.4202" Properties=species:S:1:pos:R:3 comment="NbCuRu2 | the Alexandria database | GGA-PBE | optimized geometry" dos_ef_per_ev_cell=5.49 final_energy_ev_per_fu=-32.82 e_above_lowest_polymorph_mev_per_atom=48.6 pbc="T T T"
Nb -1.6626 -1.2930 4.9028
Ru -0.8313 -0.6465 2.4514
Ru -2.4938 -1.9395 7.3542
Cu 0.0000 0.0000 0.0000



[7]
10
Lattice="6.9019 0.0000 0.0000 0.0000 6.9019 0.0000 0.0000 0.0000 2.9657" Properties=species:S:1:pos:R:3 comment="NbCu2Ru2 | the Alexandria database | GGA-PBE | optimized geometry" dos_ef_per_ev_cell=10.68 final_energy_ev_per_fu=-35.69 e_above_lowest_polymorph_mev_per_atom=0.0 pbc="T T T"
Cu 4.3137 0.8627 0.0000
Cu 6.0392 4.3137 0.0000
Cu 2.5882 6.0392 0.0000
Nb 0.0000 0.0000 0.0000
Ru 5.7134 2.2625 1.4828
Ru 4.6395 5.7134 1.4828
Nb 3.4510 3.4510 0.0000
Ru 2.2625 1.1885 1.4828
Cu 0.8627 2.5882 0.0000
Ru 1.1885 4.6395 1.4828



[8]
5
Lattice="4.7845 0.0000 0.0000 0.0000 4.7845 0.0000 0.0000 0.0000 4.7845" Properties=species:S:1:pos:R:3 comment="Nb3CuRu | the Alexandria database | GGA-PBE | optimized geometry" dos_ef_per_ev_cell=4.43 final_energy_ev_per_fu=-37.79 e_above_lowest_polymorph_mev_per_atom=0.0 pbc="T T T"
Ru 0.0000 0.0000 0.0000
Nb 2.3923 0.0000 0.0000
Cu 2.3923 2.3923 2.3923
Nb 0.0000 2.3923 0.0000
Nb 0.0000 0.0000 2.3923



[9]
8
Lattice="3.8409 0.0000 0.0000 0.0000 3.8409 0.0000 1.9204 1.9204 8.7283" Properties=species:S:1:pos:R:3 comment="NbCuRu2 | the Alexandria database | GGA-PBE | optimized geometry" dos_ef_per_ev_cell=6.65 final_energy_ev_per_fu=-30.95 e_above_lowest_polymorph_mev_per_atom=516.0 pbc="T T T"
Ru 1.1673 2.8807 2.1821
Nb 0.0000 0.0000 0.0000
Ru 2.6736 0.9602 2.1821
Nb 3.8409 1.9204 4.3642
Cu 1.9204 1.9204 0.0000
Ru 2.8807 3.0877 6.5462
Cu 1.9204 3.8409 4.3642
Ru 4.8011 4.5941 6.5462



[10]
5
Lattice="4.5932 0.0000 0.0000 0.0000 4.5932 0.0000 0.0000 0.0000 4.5932" Properties=species:S:1:pos:R:3 comment="Nb3CuRu | the Alexandria database | GGA-PBE | optimized geometry" dos_ef_per_ev_cell=7.36 final_energy_ev_per_fu=-36.99 e_above_lowest_polymorph_mev_per_atom=160.6 pbc="T T T"
Nb 0.0000 2.2966 0.0000
Ru 2.2966 2.2966 2.2966
Nb 2.2966 0.0000 0.0000
Cu 0.0000 0.0000 0.0000
Nb 0.0000 0.0000 2.2966



[11]
4
Lattice="3.6789 0.0000 0.0000 0.0000 3.9633 0.0000 0.0000 0.0000 3.9633" Properties=species:S:1:pos:R:3 comment="NbCuRu2 | the Alexandria database | GGA-PBE | optimized geometry" dos_ef_per_ev_cell=4.58 final_energy_ev_per_fu=-33.02 e_above_lowest_polymorph_mev_per_atom=0.0 pbc="T T T"
Ru 0.0000 0.0000 1.9817
Cu 1.8394 0.0000 0.0000
Nb 1.8394 1.9817 1.9817
Ru 0.0000 1.9817 0.0000



[12]
4
Lattice="-0.2285 0.0815 -3.1791 -2.7277 -1.6436 0.1539 -2.9480 4.9242 0.3382" Properties=species:S:1:pos:R:3 comment="NbCuRu2 | the Alexandria database | GGA-PBE | optimized geometry" dos_ef_per_ev_cell=5.19 final_energy_ev_per_fu=-32.91 e_above_lowest_polymorph_mev_per_atom=26.0 pbc="T T T"
Nb -2.9521 1.6811 -1.3435
Ru -2.2555 3.7675 0.2588
Ru -0.6925 1.1567 0.0794
Cu -1.4781 -0.7810 -1.5126



[13]
12
Lattice="-0.1512 2.7293 3.5096 -5.7526 2.0760 -4.6863 0.2389 -7.1843 2.7735" Properties=species:S:1:pos:R:3 comment="Nb5CuRu6 | the Alexandria database | GGA-PBE | optimized geometry" dos_ef_per_ev_cell=7.95 final_energy_ev_per_fu=-112.53 pbc="T T T"
Ru -4.1763 -3.1506 -0.5568
Nb -1.7791 -4.0653 0.2609
Nb -4.8750 1.9675 -1.7448
Ru -1.4885 0.7717 2.1536
Ru -5.2696 -0.2114 -0.0690
Ru -3.2333 -3.3588 2.4664
Cu 0.0000 0.0000 0.0000
Ru -2.4316 0.9798 -0.8696
Nb -3.8858 1.6864 1.3358
Nb -2.8324 -1.1895 0.7984
Ru -0.3953 -2.1675 1.6658
Nb -0.7899 -4.3464 3.3415



[14]
10
Lattice="7.0428 0.0000 0.0000 0.0000 7.0428 0.0000 0.0000 0.0000 2.9080" Properties=species:S:1:pos:R:3 comment="NbCu2Ru2 | the Alexandria database | GGA-PBE | optimized geometry" dos_ef_per_ev_cell=12.21 final_energy_ev_per_fu=-35.46 e_above_lowest_polymorph_mev_per_atom=44.1 pbc="T T T"
Ru 4.4155 0.8941 0.0000
Nb 3.5214 3.5214 0.0000
Cu 1.1959 4.7173 1.4540
Ru 2.6273 6.1487 0.0000
Cu 5.8469 2.3255 1.4540
Ru 6.1487 4.4155 0.0000
Nb 0.0000 0.0000 0.0000
Cu 2.3255 1.1959 1.4540
Ru 0.8941 2.6273 0.0000
Cu 4.7173 5.8469 1.4540



[15]
5
Lattice="-1.6784 2.8295 -0.0143 -2.3280 -1.3715 1.8769 1.3691 2.7582 6.5970" Properties=species:S:1:pos:R:3 comment="NbCu2Ru2 | the Alexandria database | GGA-PBE | optimized geometry" dos_ef_per_ev_cell=3.82 final_energy_ev_per_fu=-35.60 e_above_lowest_polymorph_mev_per_atom=16.7 pbc="T T T"
Ru -1.3172 1.1418 2.0838
Cu -1.1563 3.1583 3.7569
Nb 0.0000 0.0000 0.0000
Ru -1.3201 3.0744 6.3757
Cu -1.4810 1.0579 4.7026



[16]
3
Lattice="2.7401 0.0000 0.0000 0.0000 4.3513 0.0000 0.0000 -2.1756 3.7683" Properties=species:S:1:pos:R:3 comment="NbCuRu | the Alexandria database | GGA-PBE | optimized geometry" dos_ef_per_ev_cell=2.84 final_energy_ev_per_fu=-23.41 e_above_lowest_polymorph_mev_per_atom=100.7 pbc="T T T"
Cu 0.8935 2.1756 1.2561
Ru 2.6810 0.0000 0.0000
Nb 1.9056 0.0000 2.5122



[17]
3
Lattice="3.2779 0.0000 0.0000 0.0000 3.2779 0.0000 -1.6390 -1.6390 4.1776" Properties=species:S:1:pos:R:3 comment="NbCuRu | the Alexandria database | GGA-PBE | optimized geometry" dos_ef_per_ev_cell=1.71 final_energy_ev_per_fu=-23.71 e_above_lowest_polymorph_mev_per_atom=0.0 pbc="T T T"
Nb 1.6390 1.6390 3.7294
Ru 0.0000 0.0000 2.3937
Cu 1.6390 1.6390 0.9787



[18]
4
Lattice="4.5105 0.0000 0.0000 2.2552 3.9062 0.0000 2.2552 1.3021 3.6828" Properties=species:S:1:pos:R:3 comment="NbCuSnRu | the Alexandria database | GGA-PBE | optimized geometry" dos_ef_per_ev_cell=0.40 final_energy_ev_per_fu=-27.94 pbc="T T T"
Cu 0.0000 0.0000 0.0000
Nb 6.7657 3.9062 2.7621
Ru 4.5105 2.6041 1.8414
Sn 2.2552 1.3021 0.9207



[19]
5
Lattice="-1.8839 -0.2568 4.2911 -2.1939 -3.8220 -1.1919 3.6595 -2.5540 1.4537" Properties=species:S:1:pos:R:3 comment="NbCu2TcRu | the Alexandria database | GGA-PBE | optimized geometry" dos_ef_per_ev_cell=5.45 final_energy_ev_per_fu=-29.02 pbc="T T T"
Cu 1.8298 -1.2770 0.7269
Tc -0.2091 -3.3164 2.2765
Cu -0.9419 -0.1284 2.1456
Ru -1.0969 -1.9110 -0.5960
Nb 0.0000 0.0000 0.0000



[20]
20
Lattice="-0.8349 -2.7415 -0.9983 4.1287 1.9589 -8.8320 8.6231 -3.7880 3.1908" Properties=species:S:1:pos:R:3 comment="Nb2V2CuRu5 | the Alexandria database | GGA-PBE | optimized geometry" dos_ef_per_ev_cell=15.87 final_energy_ev_per_fu=-88.27 pbc="T T T"
Ru 6.6003 -4.3173 1.7236
Ru 7.8619 -2.9852 -2.9894
V 6.6623 0.3200 -6.4500
Ru 0.7339 -1.1089 -2.1809
V 6.0894 -2.1490 0.8089
Ru 6.4871 -1.7500 -5.2318
Nb 8.4469 -2.4871 -0.2340
Ru 1.6469 -0.3913 -4.9152
Ru 3.8941 -3.2647 1.0962
Nb 3.5219 -0.8843 -0.5170
Ru 11.1830 -3.4616 -4.4586
Ru 4.0550 -1.5853 -3.6501
Ru 5.3166 -0.2532 -8.3631
V 2.6910 0.1782 -2.7397
Cu 0.0000 0.0000 0.0000
Ru 5.4297 -2.8206 -1.4076
Cu 6.3759 -0.9145 -2.8206
Nb 4.3048 0.6581 -5.4071
V 10.0608 -2.0072 -2.9014
Nb 9.2298 -0.9448 -5.1242



[21]
16
Lattice="-1.8537 1.8054 -5.7193 -6.2119 -0.6679 1.8026 -0.1040 7.1524 2.2916" Properties=species:S:1:pos:R:3 comment="NbCu3S4 | the Alexandria database | GGA-PBE | optimized geometry" final_energy_ev_per_fu=-43.02 pbc="T T T"
S -2.4185 5.3350 1.5820
Cu -2.9099 5.2669 -4.2610
Nb -1.0689 -0.1036 0.2749
Cu -3.0398 6.0317 -0.5189
Cu -6.0889 6.7180 -2.7590
Cu -6.0367 3.1301 -3.9085
S -5.4225 -0.3203 0.7537
S -5.4593 3.2664 1.8675
S -5.3000 2.4458 -1.8411
S -2.2541 4.6045 -2.1637
Nb -6.1428 3.9351 -0.2507
Cu -2.9880 2.4672 -1.6610
S -5.3530 6.0928 -0.6726
S -2.2336 1.0337 -3.3279
Cu -6.1221 0.3374 -1.3310
S -2.3675 1.8296 0.4589



[22]
5
Lattice="3.2433 0.0000 0.0000 0.0000 3.2433 0.0000 1.6216 1.6216 7.1627" Properties=species:S:1:pos:R:3 comment="NbCu2S2 | the Alexandria database | GGA-PBE | optimized geometry" dos_ef_per_ev_cell=2.48 final_energy_ev_per_fu=-27.05 e_above_lowest_polymorph_mev_per_atom=54.3 pbc="T T T"
Nb 0.0000 0.0000 0.0000
S 3.2433 3.2433 5.7656
Cu 1.6216 3.2433 3.5813
Cu 3.2433 1.6216 3.5813
S 1.6216 1.6216 1.3971



[23]
10
Lattice="6.6282 0.0000 0.0000 0.0000 6.6282 0.0000 0.0000 0.0000 3.3692" Properties=species:S:1:pos:R:3 comment="NbCu2S2 | the Alexandria database | GGA-PBE | optimized geometry" dos_ef_per_ev_cell=4.48 final_energy_ev_per_fu=-27.33 e_above_lowest_polymorph_mev_per_atom=0.0 pbc="T T T"
S 4.4531 1.1390 0.0000
S 1.1390 2.1751 0.0000
Cu 0.9413 4.2554 1.6846
S 5.4892 4.4531 0.0000
Cu 5.6869 2.3728 1.6846
Cu 4.2554 5.6869 1.6846
S 2.1751 5.4892 0.0000
Nb 0.0000 0.0000 0.0000
Nb 3.3141 3.3141 0.0000
Cu 2.3728 0.9413 1.6846



[24]
6
Lattice="-1.3460 2.5124 -1.4672 -2.6730 1.3119 1.1937 9.2729 4.8593 6.7638" Properties=species:S:1:pos:R:3 comment="NbCuS | the Alexandria database | GGA-PBE | optimized geometry" dos_ef_per_ev_cell=3.06 final_energy_ev_per_fu=-19.14 pbc="T T T"
Nb 5.5134 7.2062 6.8762
Cu 3.5104 4.9563 4.8542
S -1.5437 3.3007 -0.2850
Nb 1.0661 4.9902 3.6561
Cu 5.7445 4.6854 5.8455
S 1.5187 3.9641 1.4860



[25]
10
Lattice="3.0369 -0.3524 0.0000 -0.8038 6.3182 0.0000 0.0000 0.0000 8.8918" Properties=species:S:1:pos:R:3 comment="Nb3CuS | the Alexandria database | GGA-PBE | optimized geometry" dos_ef_per_ev_cell=5.46 final_energy_ev_per_fu=-39.40 e_above_lowest_polymorph_mev_per_atom=0.0 pbc="T T T"
S 1.5185 -0.1762 0.0000
Nb 0.6287 5.4051 2.2230
Nb 1.6044 0.5607 6.6689
Nb 2.0137 4.0650 4.9274
Cu 1.8984 3.0803 2.2230
Nb 2.0137 4.0650 8.4103
Nb 0.2194 1.9008 3.9644
Cu 0.3347 2.8855 6.6689
Nb 0.2194 1.9008 0.4815
S 1.5185 -0.1762 4.4459



no.,total magnetic moment (μB per formula unit),V (Å³ per cell)
1,0.0,189
2,0.0,304
3,0.0,91
4,1.3,112
5,0.0,78
6,0.0,58
7,0.0,141
8,0.0,110
9,0.0,129
10,0.0,97
11,0.0,58
12,0.0,58
13,0.0,188
14,0.0,144
15,0.0,75
16,0.0,45
17,0.0,45
18,0.0,65
19,3.3,101
20,0.0,300
21,0.0,307
22,0.0,75
23,0.0,148
24,0.0,106
25,0.0,168